(1)
# ZnTe2Ru, relaxed, DFT PBE
# ΔE_f (raw) = 519.6 meV/atom
data_ZnTe2Ru
_symmetry_space_group_name_H-M 'P 1'
_symmetry_Int_Tables_number 1
_cell_length_a 5.5296
_cell_length_b 5.5296
_cell_length_c 5.5296
_cell_angle_alpha 135.64
_cell_angle_beta 135.64
_cell_angle_gamma 64.55
loop_
_symmetry_equiv_pos_as_xyz
'x,y,z'
loop_
_atom_site_label
_atom_site_fract_x
_atom_site_fract_y
_atom_site_fract_z
Zn1 0.0000 0.0000 0.0000
Te1 0.5000 0.5000 0.0000
Te2 0.7500 0.2500 0.5000
Ru1 0.2500 0.7500 0.5000

***

(2)
# ZnTe2Ru, relaxed, DFT PBE
# ΔE_f (raw) = 30.9 meV/atom
data_ZnTe2Ru
_symmetry_space_group_name_H-M 'P 1'
_symmetry_Int_Tables_number 1
_cell_length_a 4.7009
_cell_length_b 4.7009
_cell_length_c 6.4322
_cell_angle_alpha 103.85
_cell_angle_beta 103.85
_cell_angle_gamma 44.53
loop_
_symmetry_equiv_pos_as_xyz
'x,y,z'
loop_
_atom_site_label
_atom_site_fract_x
_atom_site_fract_y
_atom_site_fract_z
Zn1 0.0000 0.0000 0.0000
Te1 0.2144 0.2144 0.7727
Te2 0.4454 0.4454 0.3267
Ru1 0.7347 0.7347 0.0870

***

(3)
# Zn2TeRu, relaxed, DFT PBE
# ΔE_f (raw) = 229.9 meV/atom
data_Zn2TeRu
_symmetry_space_group_name_H-M 'P 1'
_symmetry_Int_Tables_number 1
_cell_length_a 5.1568
_cell_length_b 5.1568
_cell_length_c 5.1568
_cell_angle_alpha 135.28
_cell_angle_beta 135.28
_cell_angle_gamma 65.10
loop_
_symmetry_equiv_pos_as_xyz
'x,y,z'
loop_
_atom_site_label
_atom_site_fract_x
_atom_site_fract_y
_atom_site_fract_z
Zn1 0.2500 0.7500 0.5000
Zn2 0.7500 0.2500 0.5000
Te1 0.0000 0.0000 0.0000
Ru1 0.5000 0.5000 0.0000

***

Question: The highest ΔE_f (raw) belongs to which entry?
Answer: number 1